Entry 1:
Material: MgZnP
Method: DFT, GGA-PBE
State: optimized geometry

For the magnetic moment, the calculation gives 0.0 Bohr magnetons per cell. Its formation energy is -165 meV/atom.

The space group is P3m1 (No. 156) and the conventional cell measures 3.9207, 3.9207 and 4.1546 Å, with angles of 90.00, 90.00 and 120.00 degrees. The asymmetric unit holds Mg at (0.0000, 0.0000, 0.0000), Zn at (0.3333, 0.6667, 0.4434) and P at (0.6667, 0.3333, 0.6304).


Entry 2:
Material: Mg2ZnP
Method: DFT, GGA-PBE
State: optimized geometry

For the magnetic moment, the calculation gives 0.0 Bohr magnetons per cell. The value obtained for the excess energy over the best structure of this formula in the dataset is 0.000 eV/atom. Its formation energy is -295 meV/atom.

The space group is Pm (No. 6) and the conventional cell measures 3.906, 3.767 and 5.310 Å, with angles of 90.00, 111.54 and 90.00 degrees. The asymmetric unit holds Mg at (0.000, 0.000, 0.000), Mg at (0.293, 0.500, 0.586), Zn at (0.571, 0.500, 0.140) and P at (0.730, 0.000, 0.462).


Entry 3:
Material: Mg2ZnP
Method: DFT, GGA-PBE
State: optimized geometry

For the magnetic moment, the calculation gives 0.0 Bohr magnetons per cell. The value obtained for the excess energy over the best structure of this formula in the dataset is 0.181 eV/atom. Its formation energy is -114 meV/atom.

The space group is Cmmm (No. 65) and the conventional cell measures 5.984, 7.874 and 2.964 Å, with angles of 90.00, 90.00 and 90.00 degrees. The asymmetric unit holds Mg at (0.250, 0.250, 0.000), Zn at (0.000, 0.000, 0.500) and P at (0.000, 0.500, 0.500).


Entry 4:
Material: Mg2ZnP
Method: DFT, GGA-PBE
State: optimized geometry

For the magnetic moment, the calculation gives 0.0 Bohr magnetons per cell. The value obtained for the excess energy over the best structure of this formula in the dataset is 0.147 eV/atom. Its formation energy is -148 meV/atom.

The space group is P2/m (No. 10) and the conventional cell measures 3.283, 3.593 and 5.938 Å, with angles of 90.00, 91.07 and 90.00 degrees. The asymmetric unit holds Mg at (0.004, 0.000, 0.260), Zn at (0.500, 0.500, 0.000) and P at (0.500, 0.500, 0.500).


Entry 5:
Material: Mg2ZnP
Method: DFT, GGA-PBE
State: optimized geometry

For the magnetic moment, the calculation gives 0.0 Bohr magnetons per cell. The value obtained for the excess energy over the best structure of this formula in the dataset is 0.111 eV/atom. Its formation energy is -184 meV/atom.

The space group is C2/m (No. 12) and the conventional cell measures 7.032, 3.908 and 6.360 Å, with angles of 90.00, 108.06 and 90.00 degrees. The asymmetric unit holds Mg at (0.228, 0.000, 0.200), Zn at (0.000, 0.000, 0.500) and P at (0.000, 0.500, 0.000).


Entry 6:
Material: Mg2ZnP2
Method: DFT, GGA-PBE
State: optimized geometry

For the magnetic moment, the calculation gives 0.0 Bohr magnetons per cell. The value obtained for the excess energy over the best structure of this formula in the dataset is 0.000 eV/atom. Its formation energy is -257 meV/atom.

The space group is I4/mmm (No. 139) and the conventional cell measures 4.630, 4.630 and 9.304 Å, with angles of 90.00, 90.00 and 90.00 degrees. The asymmetric unit holds Mg at (0.000, 0.500, 0.250), Zn at (0.000, 0.000, 0.000) and P at (0.000, 0.000, 0.382).


Entry 7:
Material: MgZnP
Method: DFT, GGA-PBE
State: optimized geometry

For the magnetic moment, the calculation gives 0.0 Bohr magnetons per cell. Its formation energy is 62 meV/atom.

The space group is Fmm2 (No. 42) and the conventional cell measures 3.844, 4.887 and 11.167 Å, with angles of 90.00, 90.00 and 90.00 degrees. The asymmetric unit holds Mg at (0.000, 0.000, 0.000), Zn at (0.000, 0.000, 0.692) and P at (0.000, 0.000, 0.337).


Entry 8:
Material: Mg2ZnP
Method: DFT, GGA-PBE
State: optimized geometry

For the magnetic moment, the calculation gives 0.0 Bohr magnetons per cell. The value obtained for the excess energy over the best structure of this formula in the dataset is 0.211 eV/atom. Its formation energy is -83 meV/atom.

The space group is Fm-3m (No. 225) and the conventional cell measures 6.649, 6.649 and 6.649 Å, with angles of 90.00, 90.00 and 90.00 degrees. The asymmetric unit holds Mg at (0.250, 0.250, 0.250), Zn at (0.000, 0.000, 0.000) and P at (0.000, 0.000, 0.500).


Look up the magnetic moment of the sixth one.
0.0 Bohr magnetons per cell